Entry from Alexandria via LeMat-Bulk: an optimized crystal structure of Pu5Ga2Si (PBE).

Properties
Raw formation energy ... -0.191 eV per atom
DFT total energy ... -84.7 eV per formula unit

The structure in CIF format:
```
data_Pu5Ga2Si
_chemical_formula_sum 'Pu20 Ga8 Si4'
_space_group_name_H-M_alt 'I 4/m c m'
_space_group_IT_number 140
_space_group_name_Hall '-I 4 2c'
_cell_length_a 7.7131
_cell_length_b 7.7131
_cell_length_c 12.6478
_cell_angle_alpha 90.00
_cell_angle_beta 90.00
_cell_angle_gamma 90.00
loop_
_atom_site_label
_atom_site_fract_x
_atom_site_fract_y
_atom_site_fract_z
Pu1 0.0000 0.0000 0.0000
Pu2 0.1670 0.3330 0.1603
Ga1 0.1231 0.3769 0.5000
Si1 0.0000 0.0000 0.2500
```